DFT (GGA-PBE) results for a geometry-optimized KScFe2 structure.

Results
DFT total energy, eV per cell: -42.48
Polymorph energy (0 for the lowest one), meV/atom: 340.8
Energy of formation, eV/f.u.: 3.1

a = 2.9875 Å, b = 5.3940 Å, c = 10.4125 Å
α = 90.00°, β = 90.00°, γ = 90.00°
Closest atoms and distances in Å follow each position.
Space group Imm2 (No. 44)
Unique sites:
K: 0.0000 0.0000 0.0000  2 K 2.99, 6 Fe 3.12-3.30
Sc: 0.0000 0.5000 0.8090  6 Fe 2.90-3.23, 2 Sc 2.99
Fe: 0.0000 0.0000 0.5479  2 Fe 2.31
Fe: 0.0000 0.5000 0.2174  2 Fe 2.31